1.
## Li3PaTi4O12 (PBE)

Data for a relaxed structure of Li3PaTi4O12.

## Properties
The calculation puts the formation energy from raw total energies at -57.61 eV/f.u. Its density of states at the Fermi level is 0.0 states/eV/f.u. Its total energy is -8.20 eV/atom.

abc: 7.4663 7.4663 7.4663
angles: 90.00 90.00 90.00
Space group Im-3 (No. 204)
Asymmetric unit:
Li1 0.0000 0.0000 0.5000 (multiplicity 6)
Pa1 0.0000 0.0000 0.0000 (multiplicity 2)
Ti1 0.2500 0.2500 0.2500 (multiplicity 8)
O1 0.0000 0.1789 0.2853 (multiplicity 24)

=====

2.
## LiPaTi2O8 (PBE)

Data for a relaxed structure of LiPaTi2O8.

## Properties
The calculation puts the formation energy from raw total energies at -30.38 eV/f.u. Its density of states at the Fermi level is 5.4 states/eV/f.u. Its total energy is -8.10 eV/atom.

abc: 7.1152 7.1152 6.6383
angles: 90.00 90.00 90.00
Space group I-4m2 (No. 119)
Asymmetric unit:
Li1 0.0000 0.0000 0.0000 (multiplicity 2)
Pa1 0.0000 0.5000 0.7500 (multiplicity 2)
Ti1 0.0000 0.0000 0.5000 (multiplicity 2)
Ti2 0.0000 0.5000 0.2500 (multiplicity 2)
O1 0.0000 0.2061 0.6615 (multiplicity 8)
O2 0.0000 0.3107 0.0621 (multiplicity 8)

=====

3.
## Li2PaTiO6 (PBE)

Data for a relaxed structure of Li2PaTiO6.

## Properties
The calculation puts the formation energy from raw total energies at -26.90 eV/f.u. Its density of states at the Fermi level is 6.9 states/eV/f.u. Its total energy is -7.79 eV/atom.

abc: 5.2831 5.2831 14.3402
angles: 90.00 90.00 120.00
Space group R3 (No. 146, hexagonal axes)
Asymmetric unit:
Li1 0.0000 0.0000 0.0000 (multiplicity 3)
Li2 0.0000 0.0000 0.4993 (multiplicity 3)
Pa1 0.0000 0.0000 0.7860 (multiplicity 3)
Ti1 0.0000 0.0000 0.2842 (multiplicity 3)
O1 0.0106 0.7125 0.3778 (multiplicity 9)
O2 0.0340 0.3369 0.8842 (multiplicity 9)

=====

4.
## LiPaTiO5 (PBE)

Data for a relaxed structure of LiPaTiO5.

## Properties
The calculation puts the formation energy from raw total energies at -24.67 eV/f.u. Its density of states at the Fermi level is 0.0 states/eV/f.u. Its total energy is -8.60 eV/atom.

abc: 6.3852 10.2616 7.9179
angles: 90.00 112.69 90.00
Space group C2/c (No. 15)
Asymmetric unit:
Li1 0.0000 0.0263 0.2500 (multiplicity 4)
Pa1 0.2500 0.2500 0.0000 (multiplicity 4)
Ti1 0.0000 0.4655 0.2500 (multiplicity 4)
O1 0.0000 0.1680 0.7500 (multiplicity 4)
O2 0.0043 0.3570 0.0687 (multiplicity 8)
O3 0.2428 0.0703 0.1586 (multiplicity 8)

=====

5.
## LiPa2TlO8 (PBE)

Data for a relaxed structure of LiPa2TlO8.

## Properties
The calculation puts the formation energy from raw total energies at -27.32 eV/f.u. Its density of states at the Fermi level is 10.2 states/eV/f.u. Its total energy is -7.52 eV/atom.

abc: 6.9173 6.9297 7.2887
angles: 90.00 90.00 90.00
Space group Cmmm (No. 65)
Asymmetric unit:
Li1 0.0000 0.0000 0.0000 (multiplicity 2)
Pa1 0.0000 0.5000 0.2402 (multiplicity 4)
Tl1 0.0000 0.0000 0.5000 (multiplicity 2)
O1 0.0000 0.2095 0.2497 (multiplicity 8)
O2 0.1889 0.5000 0.5000 (multiplicity 4)
O3 0.1905 0.5000 0.0000 (multiplicity 4)

=====

6.
## Li2PaTlO4 (PBE)

Data for a relaxed structure of Li2PaTlO4.

## Properties
The calculation puts the formation energy from raw total energies at -17.51 eV/f.u. Its density of states at the Fermi level is 0.0 states/eV/f.u. Its total energy is -6.63 eV/atom.

abc: 5.6929 5.6929 7.6290
angles: 90.00 90.00 90.00
Space group I-42m (No. 121)
Asymmetric unit:
Li1 0.0000 0.5000 0.2500 (multiplicity 4)
Pa1 0.0000 0.0000 0.0000 (multiplicity 2)
Tl1 0.0000 0.0000 0.5000 (multiplicity 2)
O1 0.2031 0.2031 0.1682 (multiplicity 8)

=====

7.
## LiPa2TlO6 (PBE)

Data for a relaxed structure of LiPa2TlO6.

## Properties
The calculation puts the formation energy from raw total energies at -28.93 eV/f.u. Its density of states at the Fermi level is 0.0 states/eV/f.u. Its total energy is -8.19 eV/atom.

abc: 6.0392 6.0392 15.3898
angles: 90.00 90.00 120.00
Space group R3 (No. 146, hexagonal axes)
Asymmetric unit:
Li1 0.0000 0.0000 0.0000 (multiplicity 3)
Pa1 0.0000 0.0000 0.1888 (multiplicity 3)
Pa2 0.0000 0.0000 0.6825 (multiplicity 3)
Tl1 0.0000 0.0000 0.4376 (multiplicity 3)
O1 0.0919 0.3361 0.2664 (multiplicity 9)
O2 0.1418 0.7884 0.7587 (multiplicity 9)

=====

8.
## LiPaTl2O6 (PBE)

Data for a relaxed structure of LiPaTl2O6.

## Properties
The calculation puts the formation energy from raw total energies at -17.91 eV/f.u. Its total energy is -6.38 eV/atom.

abc: 5.7181 5.7181 15.3113
angles: 90.00 90.00 120.00
Space group R3 (No. 146, hexagonal axes)
Asymmetric unit:
Li1 0.0000 0.0000 0.0000 (multiplicity 3)
Pa1 0.0000 0.0000 0.5044 (multiplicity 3)
Tl1 0.0000 0.0000 0.2188 (multiplicity 3)
Tl2 0.0000 0.0000 0.7169 (multiplicity 3)
O1 0.0166 0.3025 0.5999 (multiplicity 9)
O2 0.0174 0.6478 0.7695 (multiplicity 9)

=====

9.
## LiPaTlO4 (PBE)

Data for a relaxed structure of LiPaTlO4.

## Properties
The calculation puts the formation energy from raw total energies at -15.90 eV/f.u. Its density of states at the Fermi level is 1.7 states/eV/f.u. Its total energy is -7.07 eV/atom.

abc: 5.5505 5.5913 7.5810
angles: 90.00 110.66 90.00
Space group P2_1/m (No. 11)
Asymmetric unit:
Li1 0.1767 0.2500 0.2768 (multiplicity 2)
Pa1 0.2336 0.7500 0.5382 (multiplicity 2)
Tl1 0.3843 0.2500 0.8663 (multiplicity 2)
O1 0.0325 0.0012 0.6799 (multiplicity 4)
O2 0.4540 0.2500 0.5643 (multiplicity 2)
O3 0.4612 0.2500 0.1955 (multiplicity 2)

=====

10.
## Li2PaTlO6 (PBE)

Data for a relaxed structure of Li2PaTlO6.

## Properties
The calculation puts the formation energy from raw total energies at -18.20 eV/f.u. Its density of states at the Fermi level is 7.8 states/eV/f.u. Its total energy is -6.36 eV/atom.

abc: 5.4855 5.4855 15.0395
angles: 90.00 90.00 120.00
Space group R3 (No. 146, hexagonal axes)
Asymmetric unit:
Li1 0.0000 0.0000 0.0000 (multiplicity 3)
Li2 0.0000 0.0000 0.4977 (multiplicity 3)
Pa1 0.0000 0.0000 0.7853 (multiplicity 3)
Tl1 0.0000 0.0000 0.2823 (multiplicity 3)
O1 0.0099 0.6551 0.0454 (multiplicity 9)
O2 0.0300 0.3627 0.5406 (multiplicity 9)

=====

11.
## LiPaTl4O8 (PBE)

Data for a relaxed structure of LiPaTl4O8.

## Properties
The calculation puts the formation energy from raw total energies at -18.92 eV/f.u. Its density of states at the Fermi level is 1.9 states/eV/f.u. Its total energy is -5.68 eV/atom.

abc: 7.0081 7.0081 15.7453
angles: 90.00 90.00 120.00
Space group R3m (No. 160, hexagonal axes)
Asymmetric unit:
Li1 0.0000 0.0000 0.0000 (multiplicity 3)
Pa1 0.0000 0.0000 0.3864 (multiplicity 3)
Tl1 0.0000 0.0000 0.6067 (multiplicity 3)
Tl2 0.1703 0.3406 0.8157 (multiplicity 9)
O1 0.0000 0.0000 0.2328 (multiplicity 3)
O2 0.0000 0.0000 0.7407 (multiplicity 3)
O3 0.0146 0.5073 0.7055 (multiplicity 9)
O4 0.0528 0.5264 0.1808 (multiplicity 9)

=====

12.
## LiPaTlO6 (PBE)

Data for a relaxed structure of LiPaTlO6.

## Properties
The calculation puts the formation energy from raw total energies at -13.59 eV/f.u. Its density of states at the Fermi level is 6.7 states/eV/f.u. Its total energy is -6.35 eV/atom.

abc: 5.4409 5.4409 4.8589
angles: 90.00 90.00 120.00
Space group P312 (No. 149)
Asymmetric unit:
Li1 0.0000 0.0000 0.0000 (multiplicity 1)
Pa1 0.3333 0.6667 0.5000 (multiplicity 1)
Tl1 0.6667 0.3333 0.0000 (multiplicity 1)
O1 0.0158 0.3377 0.2471 (multiplicity 6)

=====

13.
## Li2PaTl2O6 (PBE)

Data for a relaxed structure of Li2PaTl2O6.

## Properties
The calculation puts the formation energy from raw total energies at -17.51 eV/f.u. Its density of states at the Fermi level is 8.8 states/eV/f.u. Its total energy is -5.94 eV/atom.

abc: 6.0157 6.0157 15.9285
angles: 90.00 90.00 120.00
Space group R-3m (No. 166, hexagonal axes)
Asymmetric unit:
Li1 0.0000 0.0000 0.0815 (multiplicity 6)
Pa1 0.0000 0.0000 0.5000 (multiplicity 3)
Tl1 0.0000 0.0000 0.2895 (multiplicity 6)
O1 0.0214 0.5107 0.2542 (multiplicity 18)

=====

14.
## LiPa3Tl4O12 (PBE)

Data for a relaxed structure of LiPa3Tl4O12.

## Properties
The calculation puts the formation energy from raw total energies at -41.05 eV/f.u. Its density of states at the Fermi level is 17.0 states/eV/f.u. Its total energy is -7.02 eV/atom.

abc: 8.7910 8.7910 8.7910
angles: 90.00 90.00 90.00
Space group Im-3m (No. 229)
Asymmetric unit:
Li1 0.0000 0.0000 0.0000 (multiplicity 2)
Pa1 0.0000 0.0000 0.5000 (multiplicity 6)
Tl1 0.2500 0.2500 0.2500 (multiplicity 8)
O1 0.0000 0.0000 0.2671 (multiplicity 12)
O2 0.0000 0.2500 0.5000 (multiplicity 12)

=====

15.
## LiTm2PaO6 (PBE)

Data for a relaxed structure of LiTm2PaO6.

## Properties
The calculation puts the formation energy from raw total energies at -33.22 eV/f.u. Its density of states at the Fermi level is 0.0 states/eV/f.u. Its total energy is -8.33 eV/atom.

abc: 5.7446 5.7446 15.0173
angles: 90.00 90.00 120.00
Space group R3 (No. 146, hexagonal axes)
Asymmetric unit:
Li1 0.0000 0.0000 0.0000 (multiplicity 3)
Tm1 0.0000 0.0000 0.2757 (multiplicity 3)
Tm2 0.0000 0.0000 0.7803 (multiplicity 3)
Pa1 0.0000 0.0000 0.4872 (multiplicity 3)
O1 0.0010 0.3074 0.8792 (multiplicity 9)
O2 0.0163 0.7260 0.3874 (multiplicity 9)

=====

16.
## LiTmPaO4 (PBE)

Data for a relaxed structure of LiTmPaO4.

## Properties
The calculation puts the formation energy from raw total energies at -21.33 eV/f.u. Its density of states at the Fermi level is 2.7 states/eV/f.u. Its total energy is -8.15 eV/atom.

abc: 6.6117 7.1052 9.6048
angles: 90.00 90.00 90.00
Space group Imma (No. 74)
Asymmetric unit:
Li1 0.0000 0.2500 0.1044 (multiplicity 4)
Tm1 0.2500 0.2500 0.7500 (multiplicity 4)
Pa1 0.0000 0.0000 0.5000 (multiplicity 4)
O1 0.0000 0.0380 0.7302 (multiplicity 8)
O2 0.2265 0.2500 0.5133 (multiplicity 8)

=====

17.
## LiTmPa2O8 (PBE)

Data for a relaxed structure of LiTmPa2O8.

## Properties
The calculation puts the formation energy from raw total energies at -31.03 eV/f.u. Its density of states at the Fermi level is 5.8 states/eV/f.u. Its total energy is -8.01 eV/atom.

abc: 5.7369 5.7369 5.3560
angles: 90.00 90.00 120.00
Space group P-3 (No. 147)
Asymmetric unit:
Li1 0.0000 0.0000 0.0000 (multiplicity 1)
Tm1 0.0000 0.0000 0.5000 (multiplicity 1)
Pa1 0.3333 0.6667 0.9116 (multiplicity 2)
O1 0.0516 0.3244 0.1895 (multiplicity 6)
O2 0.3333 0.6667 0.5492 (multiplicity 2)

=====

18.
## LiUPaO6 (PBE)

Data for a relaxed structure of LiUPaO6.

## Properties
The calculation puts the formation energy from raw total energies at -27.03 eV/f.u. Its density of states at the Fermi level is 0.0 states/eV/f.u. Its total energy is -8.83 eV/atom.

abc: 5.9247 5.9247 9.3452
angles: 90.00 90.00 120.00
Space group P-31c (No. 163)
Asymmetric unit:
Li1 0.0000 0.0000 0.0000 (multiplicity 2)
U1 0.3333 0.6667 0.2500 (multiplicity 2)
Pa1 0.3333 0.6667 0.7500 (multiplicity 2)
O1 0.0115 0.3724 0.1407 (multiplicity 12)

=====

19.
## Li2UPaO6 (PBE)

Data for a relaxed structure of Li2UPaO6.

## Properties
The calculation puts the formation energy from raw total energies at -30.43 eV/f.u. Its total energy is -8.48 eV/atom.

abc: 5.4820 5.4820 15.3380
angles: 90.00 90.00 120.00
Space group R-3 (No. 148, hexagonal axes)
Asymmetric unit:
Li1 0.0000 0.0000 0.2218 (multiplicity 6)
U1 0.0000 0.0000 0.5000 (multiplicity 3)
Pa1 0.0000 0.0000 0.0000 (multiplicity 3)
O1 0.0058 0.3601 0.7540 (multiplicity 18)